[1]
K4BaNb5O15: relaxed, PBEsol.

Properties
For the formation energy from raw total energies, the calculation gives -2.556 eV/atom. As for the energy: -0.29902 Ha/atom. For the density of states at the Fermi level, the calculation gives 3.662 states/eV per cell. The spin magnetization comes out at 0.00 Bohr magnetons per cell.

Cell lengths 5.7061, 6.9949, 9.0260 Å; angles 104.98, 108.43, 90.00 degrees
Last column: nearest neighbours and their distance in Å.
Sites, in units of the cell vectors:
K 0.7993 0.2005 0.5986  12 O 2.85-2.88
K 0.4001 0.5983 0.8002  12 O 2.85-2.87
K 0.2007 0.7995 0.4014  12 O 2.85-2.88
K 0.5999 0.4017 0.1998  12 O 2.85-2.87
O 0.8017 0.7023 0.0994  2 Nb 2.02-2.03
O 0.0992 0.3969 0.1985  2 Nb 2.02-2.03
O 0.5000 0.5000 0.5000  2 Nb 2.00
O 0.3970 0.0993 0.2979  2 Nb 2.01-2.04
O 0.0000 0.5000 0.5000  2 Nb 2.00
O 0.0992 0.9007 0.7021  2 Nb 2.01-2.04
O 0.9008 0.0993 0.2979  2 Nb 2.01-2.04
O 0.7023 0.2977 0.9006  2 Nb 2.02-2.03
O 0.6030 0.9007 0.7021  2 Nb 2.01-2.04
O 0.1983 0.2977 0.9006  2 Nb 2.02-2.03
O 0.2977 0.7023 0.0994  2 Nb 2.02-2.03
O 0.7001 0.8000 0.4002  2 Nb 1.99-2.01
O 0.2999 0.2000 0.5998  2 Nb 1.99-2.01
O 0.9008 0.6031 0.8015  2 Nb 2.02-2.03
O 0.5000 0.0000 0.0000  2 Nb 2.05
Nb 0.3981 0.0997 0.7962  6 O 1.99-2.05
Nb 0.0000 0.5000 0.0000  6 O 2.02
Nb 0.2013 0.3032 0.4027  6 O 2.00-2.04
Nb 0.6019 0.9003 0.2038  6 O 1.99-2.05
Nb 0.7987 0.6968 0.5973  6 O 2.00-2.04
Ba 0.0000 0.0000 0.0000  12 O 2.83-2.85

=====

[2]
AlAsSe2: relaxed, PBEsol.

Properties
The relative energy among the computed polymorphs comes out at 110 meV/atom. For the formation energy from raw total energies, the calculation gives 0.185 eV/atom. As for the energy: -0.14845 Ha/atom. For the density of states at the Fermi level, the calculation gives 2.168 states/eV per cell. The spin magnetization comes out at 0.00 Bohr magnetons per cell.

Cell lengths 2.8336, 2.8336, 10.0925 Å; angles 90.00, 90.00, 104.20 degrees
Last column: nearest neighbours and their distance in Å.
Sites, in units of the cell vectors:
Se 0.0000 0.0000 0.0073  4 Se 2.83
Se 0.5000 0.5000 0.6972  2 Al 2.66, 4 Se 2.83
Al 0.0000 0.0000 0.4972  2 As 2.66, 2 Se 2.66, 4 Al 2.83
As 0.5000 0.5000 0.2983  2 Al 2.66, 4 As 2.83

=====

[3]
Cd2CuAg: relaxed, PBEsol.

Properties
As for the energy: -0.09133 Ha/atom. For the density of states at the Fermi level, the calculation gives 1.024 states/eV per cell. The spin magnetization comes out at 0.00 Bohr magnetons per cell. Its energy relative to the elements is 25 meV/atom.

Cell lengths 2.9027, 4.3622, 5.5791 Å; angles 90.00, 105.63, 90.00 degrees
Last column: nearest neighbours and their distance in Å.
Sites, in units of the cell vectors:
Cu 0.3096 0.0000 0.4834  2 Ag 2.63, 5 Cd 2.77-2.82, 2 Cu 2.90
Cd 0.7064 0.5000 0.2929  4 Cu 2.81-2.82, 3 Ag 2.87-2.89, 4 Cd 2.90-3.14
Cd 0.0467 0.0000 0.9682  3 Cu 2.77-3.00, 4 Ag 2.86, 2 Cd 2.90
Ag 0.4374 0.5000 0.7555  2 Cu 2.63, 7 Cd 2.86-2.89, 2 Ag 2.90